! TlCoTeO4 GGA+U relaxed; values from VASP
&SYSTEM
  ibrav = 0, nat = 14, ntyp = 4
/
ATOMIC_SPECIES
Tl 204.38 Tl.upf
Co 58.93 Co.upf
Te 127.60 Te.upf
O 16.00 O.upf
ATOMIC_POSITIONS angstrom
Tl 0.6001 -8.6541 -3.2196
Tl -0.3124 -1.8034 -1.2830
Co -1.4287 -5.1597 -3.9185
Co 1.7164 -5.2977 -0.5841
Te 1.3119 -3.7692 -3.9975
Te -1.0242 -6.6883 -0.5050
O 3.1787 -4.7745 -1.8961
O -2.7489 -6.1072 -5.1404
O -2.8910 -5.6829 -2.6064
O 3.0366 -4.3502 0.6378
O -0.6030 -3.4577 -4.1571
O 0.8907 -6.9997 -0.3455
O -0.1312 -6.2686 -3.6600
O 0.4189 -4.1889 -0.8426
CELL_PARAMETERS angstrom
-4.6728 -3.4525 0.3159
0.3411 -1.0180 -6.0800
4.6194 -5.9869 1.2616
! magnetization = 4.00 μB/f.u.
! uncorrected energy = -5.16 eV per atom
! symmetry = P2_1/m, No. 11